Material: Tb2Sm7Er2
Method: DFT, PBE
State: optimized geometry

POSCAR file:
```
Tb2Sm7Er2
1.0
3.313 -6.021 0.000
3.313 6.021 0.000
0.000 0.000 9.585
Tb Sm Er
2 7 2
Direct
0.250 0.250 0.000
0.750 0.750 0.000
0.000 0.000 0.317
0.000 0.000 0.683
0.000 0.500 0.185
0.000 0.500 0.815
0.500 0.000 0.185
0.500 0.000 0.815
0.500 0.500 0.500
0.229 0.771 0.500
0.771 0.229 0.500
```

Values from the calculation:
Its formation enthalpy at 0 K is 7.96 kcal/mol of atoms. The value obtained for the total energy is -47.624 eV for the cell shown. The energy above the most stable polymorph in this dataset is 231 meV per atom. The space group is Cmmm, No. 65. Its density of states at the Fermi level is 1.687 states/eV/atom.